(A)
# NiPt2Cl | Alexandria via LeMat-Bulk | GGA-PBEsol | optimized geometry
data_NiPt2Cl
_chemical_formula_sum 'Ni3 Pt6 Cl3'
_symmetry_space_group_name_H-M 'R -3 m'
_symmetry_Int_Tables_number 166
_symmetry_space_group_name_Hall '-R 3 2"'
_cell_length_a 2.9271
_cell_length_b 2.9271
_cell_length_c 23.6108
_cell_angle_alpha 90.00
_cell_angle_beta 90.00
_cell_angle_gamma 120.00
loop_
_atom_site_label
_atom_site_fract_x
_atom_site_fract_y
_atom_site_fract_z
Ni1 0.0000 0.0000 0.0000
Pt1 0.0000 0.0000 0.2567
Cl1 0.0000 0.0000 0.5000
# Calculated density (g cm⁻³): 13.8

=====

(B)
# NiPt2Cl | Alexandria via LeMat-Bulk | GGA-PBEsol | optimized geometry
data_NiPt2Cl
_chemical_formula_sum 'Ni1 Pt2 Cl1'
_symmetry_space_group_name_H-M 'P 1 2/m 1'
_symmetry_Int_Tables_number 10
_cell_length_a 2.858
_cell_length_b 4.498
_cell_length_c 4.563
_cell_angle_alpha 90.00
_cell_angle_beta 90.04
_cell_angle_gamma 90.00
loop_
_symmetry_equiv_pos_as_xyz
'x,y,z'
'-x,-y,-z'
'-x,y,-z'
'x,-y,z'
loop_
_atom_site_label
_atom_site_fract_x
_atom_site_fract_y
_atom_site_fract_z
Ni1 0.000 0.000 0.000
Pt1 0.248 0.500 0.756
Cl1 0.500 0.000 0.500
# Calculated density (g cm⁻³): 13.7

=====

(C)
# NiPt2Cl | Alexandria via LeMat-Bulk | GGA-PBEsol | optimized geometry
data_NiPt2Cl
_chemical_formula_sum 'Ni2 Pt4 Cl2'
_symmetry_space_group_name_H-M 'I m m 2'
_symmetry_Int_Tables_number 44
_cell_length_a 2.764
_cell_length_b 4.688
_cell_length_c 8.885
_cell_angle_alpha 90.00
_cell_angle_beta 90.00
_cell_angle_gamma 90.00
loop_
_symmetry_equiv_pos_as_xyz
'x,y,z'
'-x,-y,z'
'-x,y,z'
'x,-y,z'
'x+1/2,y+1/2,z+1/2'
'-x+1/2,-y+1/2,z+1/2'
'-x+1/2,y+1/2,z+1/2'
'x+1/2,-y+1/2,z+1/2'
loop_
_atom_site_label
_atom_site_fract_x
_atom_site_fract_y
_atom_site_fract_z
Ni1 0.000 0.000 0.000
Pt1 0.000 0.000 0.511
Pt2 0.000 0.500 0.734
Cl1 0.000 0.500 0.303
# Calculated density (g cm⁻³): 14.0

=====

(D)
# NiPt2Cl | Alexandria via LeMat-Bulk | GGA-PBEsol | optimized geometry
data_NiPt2Cl
_chemical_formula_sum 'Ni1 Pt2 Cl1'
_symmetry_space_group_name_H-M 'P 4 m m'
_symmetry_Int_Tables_number 99
_cell_length_a 2.801
_cell_length_b 2.801
_cell_length_c 7.552
_cell_angle_alpha 90.00
_cell_angle_beta 90.00
_cell_angle_gamma 90.00
loop_
_symmetry_equiv_pos_as_xyz
'x,y,z'
'-y,x,z'
'-x,-y,z'
'y,-x,z'
'-x,y,z'
'y,x,z'
'x,-y,z'
'-y,-x,z'
loop_
_atom_site_label
_atom_site_fract_x
_atom_site_fract_y
_atom_site_fract_z
Ni1 0.000 0.000 0.000
Pt1 0.000 0.000 0.478
Pt2 0.500 0.500 0.225
Cl1 0.500 0.500 0.805
# Calculated density (g cm⁻³): 13.6

=====

Bottom line: (D), by a margin of 12 meV per atom.

=====

(A)
# Ni2PtCl | Alexandria via LeMat-Bulk | GGA-PBEsol | optimized geometry
data_Ni2PtCl
_chemical_formula_sum 'Ni4 Pt2 Cl2'
_symmetry_space_group_name_H-M 'C m m m'
_symmetry_Int_Tables_number 65
_symmetry_space_group_name_Hall '-C 2 2'
_cell_length_a 2.769
_cell_length_b 4.865
_cell_length_c 7.898
_cell_angle_alpha 90.00
_cell_angle_beta 90.00
_cell_angle_gamma 90.00
loop_
_atom_site_label
_atom_site_fract_x
_atom_site_fract_y
_atom_site_fract_z
Ni1 0.000 0.000 0.234
Pt1 0.000 0.500 0.500
Cl1 0.000 0.500 0.000
# Calculated density (g cm⁻³): 10.9

=====

(B)
# Ni2PtCl | Alexandria via LeMat-Bulk | GGA-PBEsol | optimized geometry
data_Ni2PtCl
_chemical_formula_sum 'Ni2 Pt1 Cl1'
_symmetry_space_group_name_H-M 'P m m m'
_symmetry_Int_Tables_number 47
_cell_length_a 2.729
_cell_length_b 4.276
_cell_length_c 4.559
_cell_angle_alpha 90.00
_cell_angle_beta 90.00
_cell_angle_gamma 90.00
loop_
_symmetry_equiv_pos_as_xyz
'x,y,z'
'-x,-y,-z'
'-x,-y,z'
'x,y,-z'
'x,-y,-z'
'-x,y,z'
'-x,y,-z'
'x,-y,z'
loop_
_atom_site_label
_atom_site_fract_x
_atom_site_fract_y
_atom_site_fract_z
Ni1 0.000 0.000 0.000
Ni2 0.500 0.000 0.500
Pt1 0.000 0.500 0.500
Cl1 0.500 0.500 0.000
# Calculated density (g cm⁻³): 10.9

=====

Bottom line: (A), by a margin of 304 meV per atom.

=====

(A)
# Re2NiCl | Alexandria via LeMat-Bulk | GGA-PBEsol | optimized geometry
data_Re2NiCl
_chemical_formula_sum 'Re4 Ni2 Cl2'
_symmetry_space_group_name_H-M 'C m m m'
_symmetry_Int_Tables_number 65
_symmetry_space_group_name_Hall '-C 2 2'
_cell_length_a 2.750
_cell_length_b 4.716
_cell_length_c 8.694
_cell_angle_alpha 90.00
_cell_angle_beta 90.00
_cell_angle_gamma 90.00
loop_
_atom_site_label
_atom_site_fract_x
_atom_site_fract_y
_atom_site_fract_z
Re1 0.000 0.000 0.242
Ni1 0.000 0.500 0.000
Cl1 0.000 0.500 0.500
# Calculated density (g cm⁻³): 13.7

=====

(B)
# Re2NiCl | Alexandria via LeMat-Bulk | GGA-PBEsol | optimized geometry
data_Re2NiCl
_chemical_formula_sum 'Re8 Ni4 Cl4'
_symmetry_space_group_name_H-M 'F -4 3 m'
_symmetry_Int_Tables_number 216
_symmetry_space_group_name_Hall 'F -4 2 3'
_cell_length_a 6.072
_cell_length_b 6.072
_cell_length_c 6.072
_cell_angle_alpha 90.00
_cell_angle_beta 90.00
_cell_angle_gamma 90.00
loop_
_atom_site_label
_atom_site_fract_x
_atom_site_fract_y
_atom_site_fract_z
Re1 0.000 0.000 0.000
Re2 0.250 0.250 0.250
Ni1 0.250 0.250 0.750
Cl1 0.000 0.000 0.500
# Calculated density (g cm⁻³): 13.8

=====

Bottom line: (A), by a margin of 191 meV per atom.